No. 1
Compound: ZrTaInS2
Source: Alexandria via LeMat-Bulk
Functional: PBE
Structure: optimized geometry

a = 4.888 Å, b = 4.888 Å, c = 5.440 Å
α = 90.00°, β = 90.00°, γ = 90.00°
Fractional coordinates of all 5 atoms:
1 Zr 0.000 0.000 0.000
2 Ta 0.000 0.000 0.500
3 In 0.500 0.500 0.500
4 S 0.000 0.500 0.000
5 S 0.500 0.000 0.000

Properties
Total DFT energy (no corrections) in eV/cell: -29.24

=====

No. 2
Compound: Tb2InS5
Source: Alexandria via LeMat-Bulk
Functional: PBE
Structure: optimized geometry

a = 7.337 Å, b = 7.337 Å, c = 12.262 Å
α = 90.00°, β = 90.00°, γ = 136.83°
Fractional coordinates of all 16 atoms:
1 Tb 0.163 0.837 0.570
2 Tb 0.163 0.837 0.930
3 Tb 0.837 0.163 0.070
4 Tb 0.837 0.163 0.430
5 In 0.176 0.824 0.250
6 In 0.824 0.176 0.750
7 S 0.033 0.967 0.102
8 S 0.033 0.967 0.398
9 S 0.283 0.717 0.750
10 S 0.303 0.697 0.088
11 S 0.303 0.697 0.412
12 S 0.697 0.303 0.588
13 S 0.697 0.303 0.912
14 S 0.717 0.283 0.250
15 S 0.967 0.033 0.602
16 S 0.967 0.033 0.898

Properties
Total DFT energy (no corrections) in eV/cell: -85.77

=====

No. 3
Compound: TbIn6S8
Source: Alexandria via LeMat-Bulk
Functional: PBE
Structure: optimized geometry

a = 7.177 Å, b = 7.177 Å, c = 7.177 Å
α = 94.95°, β = 94.95°, γ = 94.95°
Fractional coordinates of all 15 atoms:
1 Tb 0.000 0.000 0.000
2 In 0.226 0.338 0.620
3 In 0.338 0.620 0.226
4 In 0.380 0.774 0.662
5 In 0.620 0.226 0.338
6 In 0.662 0.380 0.774
7 In 0.774 0.662 0.380
8 S 0.098 0.831 0.357
9 S 0.169 0.643 0.902
10 S 0.257 0.257 0.257
11 S 0.357 0.098 0.831
12 S 0.643 0.902 0.169
13 S 0.743 0.743 0.743
14 S 0.831 0.357 0.098
15 S 0.902 0.169 0.643

Properties
Total DFT energy (no corrections) in eV/cell: -61.85

=====

No. 4
Compound: Tb3InS
Source: Alexandria via LeMat-Bulk
Functional: PBE
Structure: optimized geometry

a = 9.036 Å, b = 3.942 Å, c = 14.939 Å
α = 90.00°, β = 90.00°, γ = 90.00°
Fractional coordinates of all 20 atoms:
1 Tb 0.031 0.250 0.112
2 Tb 0.165 0.250 0.510
3 Tb 0.209 0.750 0.285
4 Tb 0.291 0.250 0.785
5 Tb 0.335 0.750 0.010
6 Tb 0.469 0.750 0.612
7 Tb 0.531 0.250 0.388
8 Tb 0.665 0.250 0.990
9 Tb 0.709 0.750 0.215
10 Tb 0.791 0.250 0.715
11 Tb 0.835 0.750 0.490
12 Tb 0.969 0.750 0.888
13 In 0.070 0.750 0.672
14 In 0.430 0.250 0.172
15 In 0.570 0.750 0.828
16 In 0.930 0.250 0.328
17 S 0.158 0.250 0.946
18 S 0.342 0.750 0.446
19 S 0.658 0.250 0.554
20 S 0.842 0.750 0.054

Properties
Distance to the lowest polymorph of the same formula in kJ per mole of atoms: 0.0

=====

No. 5
Compound: TbInS
Source: Alexandria via LeMat-Bulk
Functional: PBE
Structure: optimized geometry

a = 9.159 Å, b = 9.159 Å, c = 9.159 Å
α = 28.98°, β = 28.98°, γ = 28.98°
Fractional coordinates of all 6 atoms:
1 Tb 0.101 0.101 0.101
2 Tb 0.899 0.899 0.899
3 In 0.351 0.351 0.351
4 In 0.649 0.649 0.649
5 S 0.206 0.206 0.206
6 S 0.794 0.794 0.794

Properties
Total DFT energy (no corrections) in eV/cell: -29.68

=====

No. 6
Compound: TbInS3
Source: Alexandria via LeMat-Bulk
Functional: PBE
Structure: optimized geometry

a = 6.899 Å, b = 4.060 Å, c = 10.011 Å
α = 90.00°, β = 101.44°, γ = 90.00°
Fractional coordinates of all 10 atoms:
1 Tb 0.218 0.250 0.428
2 Tb 0.782 0.750 0.572
3 In 0.382 0.250 0.854
4 In 0.618 0.750 0.146
5 S 0.045 0.250 0.650
6 S 0.272 0.750 0.966
7 S 0.461 0.750 0.353
8 S 0.539 0.250 0.647
9 S 0.728 0.250 0.034
10 S 0.955 0.750 0.350

Properties
Distance to the lowest polymorph of the same formula in kJ per mole of atoms: 0.0

=====

No. 7
Compound: Tb7InS5
Source: Alexandria via LeMat-Bulk
Functional: PBE
Structure: optimized geometry

a = 3.942 Å, b = 23.660 Å, c = 6.846 Å
α = 90.00°, β = 106.69°, γ = 90.00°
Fractional coordinates of all 26 atoms:
1 Tb 0.015 0.250 0.029
2 Tb 0.136 0.536 0.272
3 Tb 0.136 0.964 0.272
4 Tb 0.324 0.172 0.649
5 Tb 0.324 0.328 0.649
6 Tb 0.408 0.610 0.815
7 Tb 0.408 0.890 0.815
8 Tb 0.592 0.110 0.185
9 Tb 0.592 0.390 0.185
10 Tb 0.676 0.672 0.351
11 Tb 0.676 0.828 0.351
12 Tb 0.864 0.036 0.728
13 Tb 0.864 0.464 0.728
14 Tb 0.985 0.750 0.971
15 In 0.301 0.750 0.604
16 In 0.699 0.250 0.396
17 S 0.044 0.639 0.088
18 S 0.044 0.861 0.088
19 S 0.226 0.070 0.453
20 S 0.226 0.430 0.453
21 S 0.500 0.000 0.000
22 S 0.500 0.500 0.000
23 S 0.774 0.570 0.547
24 S 0.774 0.930 0.547
25 S 0.956 0.139 0.912
26 S 0.956 0.361 0.912

Properties
Total DFT energy (no corrections) in eV/cell: -154.33

=====

No. 8
Compound: Tb3InS
Source: Alexandria via LeMat-Bulk
Functional: PBE
Structure: optimized geometry

a = 5.190 Å, b = 5.190 Å, c = 5.190 Å
α = 90.00°, β = 90.00°, γ = 90.00°
Fractional coordinates of all 5 atoms:
1 Tb 0.000 0.000 0.500
2 Tb 0.000 0.500 0.000
3 Tb 0.500 0.000 0.000
4 In 0.500 0.500 0.500
5 S 0.000 0.000 0.000

Properties
Distance to the lowest polymorph of the same formula in kJ per mole of atoms: 13.1

=====

| no. | volume (Å³/cell) |
| --- | --- |
| 1 | 130.0 |
| 2 | 451.6 |
| 3 | 365.2 |
| 4 | 532.1 |
| 5 | 159.5 |
| 6 | 274.9 |
| 7 | 611.7 |
| 8 | 139.8 |